This record from the Alexandria database describes crystalline TbNi3As2 at its relaxed geometry. The functional is GGA-PBE.

The value obtained for the distance to the lowest polymorph of the same formula is 72 meV per atom. The electronic total energy comes out at -140.717 eV per cell. Its formation energy is -3.91 eV per formula unit.

The structure belongs to space group C2/m (No. 12); the cell edges are 14.846, 3.902 and 7.067 Å and the angles 90.00°, 115.52° and 90.00°. The asymmetric unit holds Tb at (0.149, 0.000, 0.069), Ni at (0.044, 0.000, 0.384), Ni at (0.098, 0.500, 0.675), Ni at (0.187, 0.500, 0.443), As at (0.021, 0.500, 0.195) and As at (0.194, 0.000, 0.693).

***

This record from the Alexandria database describes crystalline TbNiAs2 at its relaxed geometry. The functional is GGA-PBE.

The electronic total energy comes out at -60.623 eV per cell. Its formation energy is -0.50 eV per formula unit.

The structure belongs to space group R-3m (No. 166, hexagonal axes); the cell edges are 3.7290, 3.7290 and 23.2691 Å and the angles 90.00°, 90.00° and 120.00°. The asymmetric unit holds Tb at (0.0000, 0.0000, 0.0000), Ni at (0.0000, 0.0000, 0.5000) and As at (0.0000, 0.0000, 0.1231).

***

This record from the Alexandria database describes crystalline Tb3Ni7As4 at its relaxed geometry. The functional is GGA-PBE.

The electronic total energy comes out at -166.588 eV per cell. Its formation energy is -10.34 eV per formula unit.

The structure belongs to space group C2/m (No. 12); the cell edges are 14.926, 3.975 and 9.010 Å and the angles 90.00°, 125.89° and 90.00°. The asymmetric unit holds Tb at (0.000, 0.000, 0.000), Tb at (0.178, 0.500, 0.669), Ni at (0.000, 0.000, 0.500), Ni at (0.004, 0.500, 0.285), Ni at (0.142, 0.000, 0.405), Ni at (0.189, 0.500, 0.028), As at (0.113, 0.000, 0.829) and As at (0.165, 0.500, 0.282).

***

This record from the Alexandria database describes crystalline TbNiAs at its relaxed geometry. The functional is GGA-PBE.

The electronic total energy comes out at -18.235 eV per cell. Its formation energy is -3.17 eV per formula unit.

The structure belongs to space group P-6m2 (No. 187); the cell edges are 4.0621, 4.0621 and 3.9070 Å and the angles 90.00°, 90.00° and 120.00°. The asymmetric unit holds Tb at (0.0000, 0.0000, 0.0000), Ni at (0.3333, 0.6667, 0.5000) and As at (0.6667, 0.3333, 0.5000).

***

This record from the Alexandria database describes crystalline Tb2Ni12As7 at its relaxed geometry. The functional is GGA-PBE.

The electronic total energy comes out at -122.523 eV per cell. Its formation energy is -11.34 eV per formula unit.

The structure belongs to space group P-6 (No. 174); the cell edges are 9.3643, 9.3643 and 3.8530 Å and the angles 90.00°, 90.00° and 120.00°. The asymmetric unit holds Tb at (0.0000, 0.0000, 0.0000), Tb at (0.3333, 0.6667, 0.5000), Ni at (0.0432, 0.7582, 0.5000), Ni at (0.1049, 0.3901, 0.0000), Ni at (0.3867, 0.2041, 0.0000), Ni at (0.5530, 0.1250, 0.5000), As at (0.0699, 0.6203, 0.0000), As at (0.2606, 0.0350, 0.5000) and As at (0.6667, 0.3333, 0.0000).

***

This record from the Alexandria database describes crystalline Tb2NiAs2 at its relaxed geometry. The functional is GGA-PBE.

The electronic total energy comes out at -61.177 eV per cell. Its formation energy is -6.25 eV per formula unit.

The structure belongs to space group P6_3/mmc (No. 194); the cell edges are 4.1122, 4.1122 and 14.3880 Å and the angles 90.00°, 90.00° and 120.00°. The asymmetric unit holds Tb at (0.3333, 0.6667, 0.1169), Ni at (0.0000, 0.0000, 0.2500), As at (0.0000, 0.0000, 0.0000) and As at (0.3333, 0.6667, 0.7500).

***

This record from the Alexandria database describes crystalline Tb3Ni6As5 at its relaxed geometry. The functional is GGA-PBE.

The electronic total energy comes out at -166.979 eV per cell. Its formation energy is -11.66 eV per formula unit.

The structure belongs to space group Pmmn (No. 59, origin choice 2); the cell edges are 3.949, 11.972 and 9.576 Å and the angles 90.00°, 90.00° and 90.00°. The asymmetric unit holds Tb at (0.250, 0.085, 0.249), Tb at (0.250, 0.750, 0.251), Ni at (0.250, 0.068, 0.890), Ni at (0.250, 0.250, 0.011), Ni at (0.250, 0.250, 0.505), Ni at (0.250, 0.580, 0.497), As at (0.250, 0.082, 0.644), As at (0.250, 0.620, 0.983) and As at (0.250, 0.750, 0.635).

***

This record from the Alexandria database describes crystalline TcNi2As at its relaxed geometry. The functional is GGA-PBE.

The value obtained for the distance to the lowest polymorph of the same formula is 38 meV per atom. The electronic total energy comes out at -26.473 eV per cell. Its formation energy is 0.11 eV per formula unit.

The structure belongs to space group P4mm (No. 99); the cell edges are 3.038, 3.038 and 5.539 Å and the angles 90.00°, 90.00° and 90.00°. The asymmetric unit holds Tc at (0.000, 0.000, 0.000), Ni at (0.000, 0.000, 0.507), Ni at (0.500, 0.500, 0.736) and As at (0.500, 0.500, 0.274).

***

This record from the Alexandria database describes crystalline TcNiAs at its relaxed geometry. The functional is GGA-PBE.

The value obtained for the distance to the lowest polymorph of the same formula is 83 meV per atom. The electronic total energy comes out at -20.621 eV per cell. Its formation energy is 0.18 eV per formula unit.

The structure belongs to space group P3m1 (No. 156); the cell edges are 4.0350, 4.0350 and 2.8981 Å and the angles 90.00°, 90.00° and 120.00°. The asymmetric unit holds Tc at (0.0000, 0.0000, 0.0000), Ni at (0.3333, 0.6667, 0.4953) and As at (0.6667, 0.3333, 0.3412).

***

This record from the Alexandria database describes crystalline TcNiAs2 at its relaxed geometry. The functional is GGA-PBE.

The value obtained for the distance to the lowest polymorph of the same formula is 27 meV per atom. The electronic total energy comes out at -77.335 eV per cell. Its formation energy is -0.33 eV per formula unit.

The structure belongs to space group R3m (No. 160, hexagonal axes); the cell edges are 3.3252, 3.3252 and 19.3743 Å and the angles 90.00°, 90.00° and 120.00°. The asymmetric unit holds Tc at (0.0000, 0.0000, 0.0000), Ni at (0.0000, 0.0000, 0.8496), As at (0.0000, 0.0000, 0.2514) and As at (0.0000, 0.0000, 0.4247).

***

This record from the Alexandria database describes crystalline Tc2NiAs at its relaxed geometry. The functional is GGA-PBE.

The value obtained for the distance to the lowest polymorph of the same formula is 33 meV per atom. The electronic total energy comes out at -31.119 eV per cell. Its formation energy is 0.04 eV per formula unit.

The structure belongs to space group Pm (No. 6); the cell edges are 2.838, 3.982 and 5.060 Å and the angles 90.00°, 106.27° and 90.00°. The asymmetric unit holds Tc at (0.000, 0.000, 0.000), Tc at (0.367, 0.500, 0.736), Ni at (0.742, 0.000, 0.485) and As at (0.622, 0.500, 0.248).

***

This record from the Alexandria database describes crystalline TcNi2As at its relaxed geometry. The functional is GGA-PBE.

The value obtained for the distance to the lowest polymorph of the same formula is 62 meV per atom. The electronic total energy comes out at -26.380 eV per cell. Its formation energy is 0.20 eV per formula unit.

The structure belongs to space group P2/m (No. 10); the cell edges are 2.723, 3.954 and 5.000 Å and the angles 90.00°, 104.53° and 90.00°. The asymmetric unit holds Tc at (0.000, 0.000, 0.000), Ni at (0.381, 0.500, 0.750) and As at (0.500, 0.000, 0.500).

***

This record from the Alexandria database describes crystalline Tc2NiAs at its relaxed geometry. The functional is GGA-PBE.

The value obtained for the distance to the lowest polymorph of the same formula is 227 meV per atom. The electronic total energy comes out at -91.033 eV per cell. Its formation energy is 0.82 eV per formula unit.

The structure belongs to space group R-3m (No. 166, hexagonal axes); the cell edges are 2.8325, 2.8325 and 24.2742 Å and the angles 90.00°, 90.00° and 120.00°. The asymmetric unit holds Tc at (0.0000, 0.0000, 0.2493), Ni at (0.0000, 0.0000, 0.0000) and As at (0.0000, 0.0000, 0.5000).

***

This record from the Alexandria database describes crystalline TcNiAs2 at its relaxed geometry. The functional is GGA-PBE.

The value obtained for the distance to the lowest polymorph of the same formula is 388 meV per atom. The electronic total energy comes out at -48.670 eV per cell. Its formation energy is 1.11 eV per formula unit.

The structure belongs to space group Cmmm (No. 65); the cell edges are 3.209, 4.930 and 7.691 Å and the angles 90.00°, 90.00° and 90.00°. The asymmetric unit holds Tc at (0.000, 0.000, 0.000), Ni at (0.000, 0.000, 0.500) and As at (0.000, 0.500, 0.257).

***

This record from the Alexandria database describes crystalline TcNi2As at its relaxed geometry. The functional is GGA-PBE.

The value obtained for the distance to the lowest polymorph of the same formula is 0 meV per atom. The electronic total energy comes out at -106.504 eV per cell. Its formation energy is -0.05 eV per formula unit.

The structure belongs to space group F-43m (No. 216); the cell edges are 5.887, 5.887 and 5.887 Å and the angles 90.00°, 90.00° and 90.00°. The asymmetric unit holds Tc at (0.000, 0.000, 0.000), Ni at (0.000, 0.000, 0.500), Ni at (0.250, 0.250, 0.750) and As at (0.250, 0.250, 0.250).

***

This record from the Alexandria database describes crystalline TcNiAs at its relaxed geometry. The functional is GGA-PBE.

The value obtained for the distance to the lowest polymorph of the same formula is 327 meV per atom. The electronic total energy comes out at -39.776 eV per cell. Its formation energy is 0.91 eV per formula unit.

The structure belongs to space group P4/nmm (No. 129, origin choice 2); the cell edges are 4.099, 4.099 and 5.293 Å and the angles 90.00°, 90.00° and 90.00°. The asymmetric unit holds Tc at (0.250, 0.250, 0.223), Ni at (0.250, 0.250, 0.767) and As at (0.250, 0.750, 0.500).

***

This record from the Alexandria database describes crystalline Tc2NiAs at its relaxed geometry. The functional is GGA-PBE.

The value obtained for the distance to the lowest polymorph of the same formula is 261 meV per atom. The electronic total energy comes out at -120.830 eV per cell. Its formation energy is 0.96 eV per formula unit.

The structure belongs to space group F-43m (No. 216); the cell edges are 6.072, 6.072 and 6.072 Å and the angles 90.00°, 90.00° and 90.00°. The asymmetric unit holds Tc at (0.000, 0.000, 0.000), Tc at (0.250, 0.250, 0.250), Ni at (0.000, 0.000, 0.500) and As at (0.250, 0.250, 0.750).

***

This record from the Alexandria database describes crystalline TcNiAs2 at its relaxed geometry. The functional is GGA-PBE.

The value obtained for the distance to the lowest polymorph of the same formula is 0 meV per atom. The electronic total energy comes out at -25.888 eV per cell. Its formation energy is -0.44 eV per formula unit.

The structure belongs to space group Pm (No. 6); the cell edges are 3.219, 4.616 and 4.643 Å and the angles 90.00°, 110.12° and 90.00°. The asymmetric unit holds Tc at (0.000, 0.000, 0.000), Ni at (0.415, 0.500, 0.831), As at (0.114, 0.500, 0.229) and As at (0.296, 0.000, 0.589).

***

This record from the Alexandria database describes crystalline TcNiAs2 at its relaxed geometry. The functional is GGA-PBE.

The value obtained for the distance to the lowest polymorph of the same formula is 163 meV per atom. The electronic total energy comes out at -25.237 eV per cell. Its formation energy is 0.21 eV per formula unit.

The structure belongs to space group P4/mmm (No. 123); the cell edges are 4.296, 4.296 and 3.101 Å and the angles 90.00°, 90.00° and 90.00°. The asymmetric unit holds Tc at (0.000, 0.000, 0.000), Ni at (0.500, 0.500, 0.000) and As at (0.000, 0.500, 0.500).

***

This record from the Alexandria database describes crystalline Tc2NiAs at its relaxed geometry. The functional is GGA-PBE.

The value obtained for the distance to the lowest polymorph of the same formula is 88 meV per atom. The electronic total energy comes out at -61.802 eV per cell. Its formation energy is 0.26 eV per formula unit.

The structure belongs to space group I-4m2 (No. 119); the cell edges are 3.806, 3.806 and 7.528 Å and the angles 90.00°, 90.00° and 90.00°. The asymmetric unit holds Tc at (0.000, 0.000, 0.000), Tc at (0.000, 0.500, 0.250), Ni at (0.000, 0.000, 0.500) and As at (0.000, 0.500, 0.750).